Record 1
{"formula": "Ca2Zn7Ni", "functional": "PBE-GGA", "state": "optimized geometry", "cell": [[4.049, 0.000, 0.000], [0.000, 4.049, 0.000], [0.000, 0.000, 11.304]], "species": ["Ca", "Ca", "Zn", "Zn", "Zn", "Zn", "Zn", "Zn", "Zn", "Ni"], "fractional_positions": [[0.000, 0.500, 0.245], [0.500, 0.000, 0.755], [0.000, 0.000, 0.000], [0.000, 0.000, 0.500], [0.000, 0.500, 0.644], [0.000, 0.500, 0.868], [0.500, 0.000, 0.132], [0.500, 0.000, 0.356], [0.500, 0.500, 0.500], [0.500, 0.500, 0.000]], "space_group": "P-4m2 (115)"}

=====

Record 2
{"formula": "TiAg3Os", "functional": "PBE-GGA", "state": "optimized geometry", "cell": [[4.753, 0.000, 0.000], [0.000, 4.753, 0.000], [0.000, 0.000, 4.753]], "species": ["Ti", "Ag", "Ag", "Ag", "Os"], "fractional_positions": [[0.000, 0.000, 0.000], [0.000, 0.000, 0.500], [0.000, 0.500, 0.000], [0.500, 0.000, 0.000], [0.500, 0.500, 0.500]], "space_group": "Pm-3m (221)", "relative_energy_mev_per_atom": 337}

=====

Record 3
{"formula": "HoSc2V", "functional": "PBE-GGA", "state": "optimized geometry", "cell": [[1.591, 0.919, 10.797], [-1.591, 0.919, 10.797], [0.000, -1.837, 10.797]], "species": ["Ho", "Sc", "Sc", "V"], "fractional_positions": [[0.000, 0.000, 0.000], [0.419, 0.419, 0.419], [0.581, 0.581, 0.581], [0.500, 0.500, 0.500]], "space_group": "R-3m (166)", "relative_energy_mev_per_atom": 371}

=====

Record 4
{"formula": "Tb2Dy3YBi6", "functional": "PBE-GGA", "state": "optimized geometry", "cell": [[9.768, -2.241, 0.000], [9.768, 2.241, 0.000], [-2.048, 0.000, 8.730]], "species": ["Tb", "Tb", "Dy", "Dy", "Dy", "Y", "Bi", "Bi", "Bi", "Bi", "Bi", "Bi"], "fractional_positions": [[0.167, 0.167, 0.333], [0.833, 0.833, 0.667], [0.167, 0.167, 0.833], [0.500, 0.500, 0.500], [0.833, 0.833, 0.167], [0.500, 0.500, 0.000], [0.000, 0.000, 0.250], [0.000, 0.000, 0.750], [0.333, 0.333, 0.918], [0.334, 0.334, 0.416], [0.666, 0.666, 0.584], [0.667, 0.667, 0.082]], "space_group": "C2/m (12)"}

=====

Record 5
{"formula": "LiPuPb3", "functional": "PBE-GGA", "state": "optimized geometry", "cell": [[6.411, 0.000, 0.000], [0.000, 6.153, 0.000], [-2.023, 0.000, 7.847]], "species": ["Li", "Li", "Pu", "Pu", "Pb", "Pb", "Pb", "Pb", "Pb", "Pb"], "fractional_positions": [[0.100, 0.250, 0.215], [0.900, 0.750, 0.785], [0.257, 0.250, 0.849], [0.743, 0.750, 0.151], [0.000, 0.000, 0.500], [0.000, 0.500, 0.500], [0.230, 0.750, 0.123], [0.409, 0.750, 0.768], [0.591, 0.250, 0.232], [0.770, 0.250, 0.877]], "space_group": "P2_1/m (11)"}

=====

Record 6
{"formula": "AcCe3", "functional": "PBE-GGA", "state": "optimized geometry", "cell": [[0.000, 4.074, 4.074], [4.074, 0.000, 4.074], [4.074, 4.074, 0.000]], "species": ["Ac", "Ce", "Ce", "Ce"], "fractional_positions": [[0.000, 0.000, 0.000], [0.250, 0.250, 0.250], [0.500, 0.500, 0.500], [0.750, 0.750, 0.750]], "space_group": "Fm-3m (225)"}

=====

| no. | magnetization (μB per cell) | formation energy (meV per atom) |
| --- | --- | --- |
| 1 | 0.00 | -204 |
| 2 | 1.36 | 2040 |
| 3 | 2.44 | 543 |
| 4 | 0.00 | -873 |
| 5 | 11.58 | 23 |
| 6 | 5.10 | 315 |